[1]
# Pr4As3 GGA-PBEsol relaxed
data_Pr4As3
_chemical_formula_sum 'Pr16 As12'
_space_group_name_H-M_alt 'I -4 3 d'
_space_group_IT_number 220
_space_group_name_Hall 'I -4bd 2c 3'
_cell_length_a 8.9819
_cell_length_b 8.9819
_cell_length_c 8.9819
_cell_angle_alpha 90.00
_cell_angle_beta 90.00
_cell_angle_gamma 90.00
loop_
_atom_site_label
_atom_site_fract_x
_atom_site_fract_y
_atom_site_fract_z
_atom_site_occupancy
Pr1 0.0673 0.4327 0.5673 1
As1 0.0000 0.2500 0.8750 1
# - N(E_F) (states/eV per cell) = 24.62
# - energy of formation from the pure elements (eV per atom) = -1.295

***

[2]
# Ti3NbN GGA-PBEsol relaxed
data_Ti3NbN
_chemical_formula_sum 'Ti3 Nb1 N1'
_space_group_name_H-M_alt 'P m -3 m'
_space_group_IT_number 221
_space_group_name_Hall '-P 4 2 3'
_cell_length_a 4.1345
_cell_length_b 4.1345
_cell_length_c 4.1345
_cell_angle_alpha 90.00
_cell_angle_beta 90.00
_cell_angle_gamma 90.00
loop_
_atom_site_label
_atom_site_fract_x
_atom_site_fract_y
_atom_site_fract_z
_atom_site_occupancy
Ti1 0.0000 0.0000 0.5000 1
Nb1 0.5000 0.5000 0.5000 1
N1 0.0000 0.0000 0.0000 1
# - N(E_F) (states/eV per cell) = 2.98
# - formation energy from raw total energies (meV per atom) = -807.8

***

[3]
# LiH4SNO4 GGA-PBEsol relaxed
data_LiH4SNO4
_chemical_formula_sum 'Li8 H32 S8 N8 O32'
_space_group_name_H-M_alt 'P 1 21/c 1'
_space_group_IT_number 14
_cell_length_a 9.0631
_cell_length_b 5.3696
_cell_length_c 17.0142
_cell_angle_alpha 90.00
_cell_angle_beta 90.53
_cell_angle_gamma 90.00
loop_
_space_group_symop_operation_xyz
'x,y,z'
'-x,-y,-z'
'-x,y+1/2,-z+1/2'
'x,-y+1/2,z+1/2'
loop_
_atom_site_label
_atom_site_fract_x
_atom_site_fract_y
_atom_site_fract_z
_atom_site_occupancy
Li1 0.0923 0.2252 0.1618 1
Li2 0.4037 0.2312 0.9140 1
H1 0.1264 0.6370 0.4544 1
H2 0.1393 0.6688 0.0349 1
H3 0.1758 0.7003 0.2434 1
H4 0.2304 0.6048 0.9503 1
H5 0.2840 0.6435 0.5069 1
H6 0.3046 0.5825 0.7224 1
H7 0.3347 0.6216 0.1955 1
H8 0.3431 0.6939 0.2934 1
S1 0.0628 0.2166 0.3553 1
S2 0.4188 0.2493 0.1054 1
N1 0.1967 0.7470 0.9875 1
N2 0.2891 0.7319 0.2397 1
O1 0.0264 0.0336 0.8879 1
O2 0.0346 0.2182 0.2695 1
O3 0.0369 0.5293 0.1080 1
O4 0.2181 0.1510 0.3726 1
O5 0.3021 0.1865 0.1632 1
O6 0.3680 0.1852 0.0252 1
O7 0.4455 0.6036 0.3750 1
O8 0.4496 0.5203 0.1119 1
# - energy above the most stable polymorph in this dataset (kJ/mol of formula units) = 2
# - N(E_F) (states/eV per cell) = 0.00

***

[4]
# SrCaLa2 GGA-PBEsol relaxed
data_SrCaLa2
_chemical_formula_sum 'Sr3 Ca3 La6'
_space_group_name_H-M_alt 'R 3 m'
_space_group_IT_number 160
_space_group_name_Hall 'R 3 -2"'
_cell_length_a 3.7993
_cell_length_b 3.7993
_cell_length_c 37.9626
_cell_angle_alpha 90.00
_cell_angle_beta 90.00
_cell_angle_gamma 120.00
loop_
_atom_site_label
_atom_site_fract_x
_atom_site_fract_y
_atom_site_fract_z
_atom_site_occupancy
Sr1 0.0000 0.0000 0.0000 1
Ca1 0.0000 0.0000 0.7556 1
La1 0.0000 0.0000 0.2460 1
La2 0.0000 0.0000 0.5050 1
# - energy above the most stable polymorph in this dataset (kJ/mol of formula units) = 6
# - N(E_F) (states/eV per cell) = 16.37
# - energy of formation from the pure elements (eV per atom) = 0.072

***

[5]
# BaSc2Al GGA-PBEsol relaxed
data_BaSc2Al
_chemical_formula_sum 'Ba2 Sc4 Al2'
_space_group_name_H-M_alt 'C 1 2/m 1'
_space_group_IT_number 12
_cell_length_a 6.6952
_cell_length_b 10.9919
_cell_length_c 3.2383
_cell_angle_alpha 90.00
_cell_angle_beta 117.30
_cell_angle_gamma 90.00
loop_
_space_group_symop_operation_xyz
'x,y,z'
'-x,-y,-z'
'-x,y,-z'
'x,-y,z'
'x+1/2,y+1/2,z'
'-x+1/2,-y+1/2,-z'
'-x+1/2,y+1/2,-z'
'x+1/2,-y+1/2,z'
loop_
_atom_site_label
_atom_site_fract_x
_atom_site_fract_y
_atom_site_fract_z
_atom_site_occupancy
Ba1 0.0000 0.0000 0.0000 1
Sc1 0.2500 0.2500 0.5000 1
Al1 0.0000 0.5000 0.0000 1
# - N(E_F) (states/eV per cell) = 10.87
# - energy of formation from the pure elements (eV per atom) = 0.263

***

[6]
# Li3AsAu GGA-PBEsol relaxed
data_Li3AsAu
_chemical_formula_sum 'Li3 As1 Au1'
_space_group_name_H-M_alt 'P m -3 m'
_space_group_IT_number 221
_space_group_name_Hall '-P 4 2 3'
_cell_length_a 4.6475
_cell_length_b 4.6475
_cell_length_c 4.6475
_cell_angle_alpha 90.00
_cell_angle_beta 90.00
_cell_angle_gamma 90.00
loop_
_atom_site_label
_atom_site_fract_x
_atom_site_fract_y
_atom_site_fract_z
_atom_site_occupancy
Li1 0.0000 0.0000 0.5000 1
As1 0.5000 0.5000 0.5000 1
Au1 0.0000 0.0000 0.0000 1
# - energy above the most stable polymorph in this dataset (kJ/mol of formula units) = 44
# - N(E_F) (states/eV per cell) = 2.52
# - energy of formation from the pure elements (eV per atom) = -0.030

***

[7]
# MnP2O7 GGA-PBEsol relaxed
data_MnP2O7
_chemical_formula_sum 'Mn2 P4 O14'
_space_group_name_H-M_alt 'P 63/m'
_space_group_IT_number 176
_space_group_name_Hall '-P 6c'
_cell_length_a 4.8112
_cell_length_b 4.8112
_cell_length_c 12.2730
_cell_angle_alpha 90.00
_cell_angle_beta 90.00
_cell_angle_gamma 120.00
loop_
_atom_site_label
_atom_site_fract_x
_atom_site_fract_y
_atom_site_fract_z
_atom_site_occupancy
Mn1 0.0000 0.0000 0.0000 1
P1 0.3333 0.6667 0.1218 1
O1 0.0534 0.3391 0.0892 1
O2 0.3333 0.6667 0.2500 1
# - energy above the most stable polymorph in this dataset (kJ/mol of formula units) = 0
# - formation energy from raw total energies (meV per atom) = -1992.2

***

[8]
# Li2UMo2O10 GGA-PBEsol relaxed
data_Li2UMo2O10
_chemical_formula_sum 'Li2 U1 Mo2 O10'
_space_group_name_H-M_alt 'P -1'
_space_group_IT_number 2
_cell_length_a 5.4158
_cell_length_b 5.7920
_cell_length_c 8.1944
_cell_angle_alpha 108.21
_cell_angle_beta 99.76
_cell_angle_gamma 104.99
loop_
_space_group_symop_operation_xyz
'x,y,z'
'-x,-y,-z'
loop_
_atom_site_label
_atom_site_fract_x
_atom_site_fract_y
_atom_site_fract_z
_atom_site_occupancy
Li1 0.0235 0.2869 0.0753 1
U1 0.5000 0.5000 0.5000 1
Mo1 0.4215 0.1541 0.8050 1
O1 0.1874 0.4346 0.3393 1
O2 0.2002 0.0699 0.9247 1
O3 0.2769 0.6287 0.0456 1
O4 0.2965 0.2951 0.6573 1
O5 0.4750 0.8716 0.6736 1
# - N(E_F) (states/eV per cell) = 0.00
# - formation energy from raw total energies (meV per atom) = -2342.1

***

[9]
# MnTl2Sb GGA-PBEsol relaxed
data_MnTl2Sb
_chemical_formula_sum 'Mn2 Tl4 Sb2'
_space_group_name_H-M_alt 'I m m m'
_space_group_IT_number 71
_space_group_name_Hall '-I 2 2'
_cell_length_a 3.3283
_cell_length_b 4.2164
_cell_length_c 14.3212
_cell_angle_alpha 90.00
_cell_angle_beta 90.00
_cell_angle_gamma 90.00
loop_
_atom_site_label
_atom_site_fract_x
_atom_site_fract_y
_atom_site_fract_z
_atom_site_occupancy
Mn1 0.0000 0.0000 0.0000 1
Tl1 0.0000 0.5000 0.3194 1
Sb1 0.0000 0.0000 0.5000 1
# - energy above the most stable polymorph in this dataset (kJ/mol of formula units) = 0
# - N(E_F) (states/eV per cell) = 4.76
# - formation energy from raw total energies (meV per atom) = 247.2

***

[10]
# YHgAu2 GGA-PBEsol relaxed
data_YHgAu2
_chemical_formula_sum 'Y2 Hg2 Au4'
_space_group_name_H-M_alt 'I -4 m 2'
_space_group_IT_number 119
_space_group_name_Hall 'I -4 -2'
_cell_length_a 4.4804
_cell_length_b 4.4804
_cell_length_c 7.9854
_cell_angle_alpha 90.00
_cell_angle_beta 90.00
_cell_angle_gamma 90.00
loop_
_atom_site_label
_atom_site_fract_x
_atom_site_fract_y
_atom_site_fract_z
_atom_site_occupancy
Y1 0.0000 0.0000 0.0000 1
Hg1 0.0000 0.5000 0.2500 1
Au1 0.0000 0.0000 0.5000 1
Au2 0.0000 0.5000 0.7500 1
# - N(E_F) (states/eV per cell) = 2.97
# - energy of formation from the pure elements (eV per atom) = -0.598

***

[11]
# Sc2BeSi GGA-PBEsol relaxed
data_Sc2BeSi
_chemical_formula_sum 'Sc2 Be1 Si1'
_space_group_name_H-M_alt 'P 4 m m'
_space_group_IT_number 99
_cell_length_a 3.0110
_cell_length_b 3.0110
_cell_length_c 7.3265
_cell_angle_alpha 90.00
_cell_angle_beta 90.00
_cell_angle_gamma 90.00
loop_
_space_group_symop_operation_xyz
'x,y,z'
'-y,x,z'
'-x,-y,z'
'y,-x,z'
'-x,y,z'
'y,x,z'
'x,-y,z'
'-y,-x,z'
loop_
_atom_site_label
_atom_site_fract_x
_atom_site_fract_y
_atom_site_fract_z
_atom_site_occupancy
Sc1 0.0000 0.0000 0.0000 1
Sc2 0.5000 0.5000 0.3468 1
Be1 0.0000 0.0000 0.5910 1
Si1 0.5000 0.5000 0.7395 1
# - energy above the most stable polymorph in this dataset (kJ/mol of formula units) = 150
# - N(E_F) (states/eV per cell) = 2.98
# - formation energy from raw total energies (meV per atom) = -135.0

***

[12]
# ZrCdRu2Br GGA-PBEsol relaxed
data_ZrCdRu2Br
_chemical_formula_sum 'Zr1 Cd1 Ru2 Br1'
_space_group_name_H-M_alt 'P 4/m m m'
_space_group_IT_number 123
_space_group_name_Hall '-P 4 2'
_cell_length_a 4.4807
_cell_length_b 4.4807
_cell_length_c 5.0629
_cell_angle_alpha 90.00
_cell_angle_beta 90.00
_cell_angle_gamma 90.00
loop_
_atom_site_label
_atom_site_fract_x
_atom_site_fract_y
_atom_site_fract_z
_atom_site_occupancy
Zr1 0.0000 0.0000 0.0000 1
Cd1 0.5000 0.5000 0.0000 1
Ru1 0.0000 0.5000 0.5000 1
Br1 0.5000 0.5000 0.5000 1
# - N(E_F) (states/eV per cell) = 5.73
# - formation energy from raw total energies (meV per atom) = 1252.7

***

[13]
# YMg5 GGA-PBEsol relaxed
data_YMg5
_chemical_formula_sum 'Y3 Mg15'
_space_group_name_H-M_alt 'R 3 2'
_space_group_IT_number 155
_space_group_name_Hall 'R 3 2"'
_cell_length_a 5.5649
_cell_length_b 5.5649
_cell_length_c 16.3957
_cell_angle_alpha 90.00
_cell_angle_beta 90.00
_cell_angle_gamma 120.00
loop_
_atom_site_label
_atom_site_fract_x
_atom_site_fract_y
_atom_site_fract_z
_atom_site_occupancy
Y1 0.0000 0.0000 0.0000 1
Mg1 0.0000 0.0000 0.3366 1
Mg2 0.0000 0.6635 0.5000 1
# - N(E_F) (states/eV per cell) = 12.23
# - energy of formation from the pure elements (eV per atom) = 0.015

***

[14]
# TaCdGa2Te GGA-PBEsol relaxed
data_TaCdGa2Te
_chemical_formula_sum 'Ta1 Cd1 Ga2 Te1'
_space_group_name_H-M_alt 'P 4/m m m'
_space_group_IT_number 123
_space_group_name_Hall '-P 4 2'
_cell_length_a 5.2512
_cell_length_b 5.2512
_cell_length_c 5.1180
_cell_angle_alpha 90.00
_cell_angle_beta 90.00
_cell_angle_gamma 90.00
loop_
_atom_site_label
_atom_site_fract_x
_atom_site_fract_y
_atom_site_fract_z
_atom_site_occupancy
Ta1 0.0000 0.0000 0.0000 1
Cd1 0.5000 0.5000 0.0000 1
Ga1 0.0000 0.5000 0.5000 1
Te1 0.0000 0.0000 0.5000 1
# - N(E_F) (states/eV per cell) = 3.59
# - formation energy from raw total energies (meV per atom) = 1250.7

***

[15]
# NbNi3P2 GGA-PBEsol relaxed
data_NbNi3P2
_chemical_formula_sum 'Nb3 Ni9 P6'
_space_group_name_H-M_alt 'P 1 m 1'
_space_group_IT_number 6
_cell_length_a 5.8540
_cell_length_b 3.5342
_cell_length_c 10.3304
_cell_angle_alpha 90.00
_cell_angle_beta 90.72
_cell_angle_gamma 90.00
loop_
_space_group_symop_operation_xyz
'x,y,z'
'x,-y,z'
loop_
_atom_site_label
_atom_site_fract_x
_atom_site_fract_y
_atom_site_fract_z
_atom_site_occupancy
Nb1 0.0000 0.0000 0.0000 1
Nb2 0.0115 0.0000 0.5867 1
Nb3 0.5049 0.0000 0.0933 1
Ni1 0.0557 0.5000 0.7944 1
Ni2 0.1723 0.5000 0.1807 1
Ni3 0.1922 0.5000 0.4237 1
Ni4 0.4004 0.0000 0.7735 1
Ni5 0.5122 0.0000 0.4913 1
Ni6 0.5595 0.5000 0.2987 1
Ni7 0.6599 0.5000 0.9068 1
Ni8 0.6724 0.5000 0.6595 1
Ni9 0.9056 0.0000 0.3075 1
P1 0.2989 0.0000 0.3030 1
P2 0.3005 0.5000 0.9573 1
P3 0.3116 0.5000 0.6312 1
P4 0.7887 0.0000 0.7891 1
P5 0.8010 0.5000 0.4554 1
P6 0.8052 0.5000 0.1379 1
# - N(E_F) (states/eV per cell) = 7.27
# - energy of formation from the pure elements (eV per atom) = -0.722

***

[16]
# SrOsPb3 GGA-PBEsol relaxed
data_SrOsPb3
_chemical_formula_sum 'Sr1 Os1 Pb3'
_space_group_name_H-M_alt 'P m -3 m'
_space_group_IT_number 221
_space_group_name_Hall '-P 4 2 3'
_cell_length_a 5.7755
_cell_length_b 5.7755
_cell_length_c 5.7755
_cell_angle_alpha 90.00
_cell_angle_beta 90.00
_cell_angle_gamma 90.00
loop_
_atom_site_label
_atom_site_fract_x
_atom_site_fract_y
_atom_site_fract_z
_atom_site_occupancy
Sr1 0.0000 0.0000 0.0000 1
Os1 0.5000 0.5000 0.5000 1
Pb1 0.0000 0.0000 0.5000 1
# - N(E_F) (states/eV per cell) = 5.60
# - energy of formation from the pure elements (eV per atom) = 2.181

***

[17]
# Na2In2Pb GGA-PBEsol relaxed
data_Na2In2Pb
_chemical_formula_sum 'Na4 In4 Pb2'
_space_group_name_H-M_alt 'P 4/m b m'
_space_group_IT_number 127
_space_group_name_Hall '-P 4 2ab'
_cell_length_a 8.3176
_cell_length_b 8.3176
_cell_length_c 3.8929
_cell_angle_alpha 90.00
_cell_angle_beta 90.00
_cell_angle_gamma 90.00
loop_
_atom_site_label
_atom_site_fract_x
_atom_site_fract_y
_atom_site_fract_z
_atom_site_occupancy
Na1 0.1737 0.3263 0.0000 1
In1 0.1259 0.6259 0.5000 1
Pb1 0.0000 0.0000 0.5000 1
# - N(E_F) (states/eV per cell) = 5.10
# - energy of formation from the pure elements (eV per atom) = -0.035

***

[18]
# MgCrHg2 GGA-PBEsol relaxed
data_MgCrHg2
_chemical_formula_sum 'Mg1 Cr1 Hg2'
_space_group_name_H-M_alt 'P 4 m m'
_space_group_IT_number 99
_cell_length_a 3.6322
_cell_length_b 3.6322
_cell_length_c 5.9027
_cell_angle_alpha 90.00
_cell_angle_beta 90.00
_cell_angle_gamma 90.00
loop_
_space_group_symop_operation_xyz
'x,y,z'
'-y,x,z'
'-x,-y,z'
'y,-x,z'
'-x,y,z'
'y,x,z'
'x,-y,z'
'-y,-x,z'
loop_
_atom_site_label
_atom_site_fract_x
_atom_site_fract_y
_atom_site_fract_z
_atom_site_occupancy
Mg1 0.0000 0.0000 0.0000 1
Cr1 0.5000 0.5000 0.2738 1
Hg1 0.0000 0.0000 0.4788 1
Hg2 0.5000 0.5000 0.7757 1
# - N(E_F) (states/eV per cell) = 1.97
# - energy of formation from the pure elements (eV per atom) = 0.193

***

[19]
# Nd3ReO7 GGA-PBEsol relaxed
data_Nd3ReO7
_chemical_formula_sum 'Nd12 Re4 O28'
_space_group_name_H-M_alt 'C m c m'
_space_group_IT_number 63
_space_group_name_Hall '-C 2c 2'
_cell_length_a 10.8862
_cell_length_b 7.4108
_cell_length_c 7.5326
_cell_angle_alpha 90.00
_cell_angle_beta 90.00
_cell_angle_gamma 90.00
loop_
_atom_site_label
_atom_site_fract_x
_atom_site_fract_y
_atom_site_fract_z
_atom_site_occupancy
Nd1 0.0000 0.0000 0.0000 1
Nd2 0.2260 0.3037 0.2500 1
Re1 0.0000 0.5000 0.0000 1
O1 0.0000 0.4500 0.2500 1
O2 0.1255 0.3092 0.5338 1
O3 0.1307 0.0272 0.2500 1
# - N(E_F) (states/eV per cell) = 17.38
# - formation energy from raw total energies (meV per atom) = -2826.7

***

[20]
# CsPbIO2 GGA-PBEsol relaxed
data_CsPbIO2
_chemical_formula_sum 'Cs1 Pb1 I1 O2'
_space_group_name_H-M_alt 'P 4/m m m'
_space_group_IT_number 123
_space_group_name_Hall '-P 4 2'
_cell_length_a 4.6559
_cell_length_b 4.6559
_cell_length_c 6.0729
_cell_angle_alpha 90.00
_cell_angle_beta 90.00
_cell_angle_gamma 90.00
loop_
_atom_site_label
_atom_site_fract_x
_atom_site_fract_y
_atom_site_fract_z
_atom_site_occupancy
Cs1 0.0000 0.0000 0.0000 1
Pb1 0.5000 0.5000 0.5000 1
I1 0.5000 0.5000 0.0000 1
O1 0.0000 0.5000 0.5000 1
# - N(E_F) (states/eV per cell) = 3.04
# - formation energy from raw total energies (meV per atom) = -503.8